(1)
## BaYHfIn2 (PBE)

Data for a relaxed BaYHfIn2 crystal.

a b c (Å): 5.7206 5.4080 5.7206
angles (deg): 90.00 90.00 90.00
Closest atoms and distances in Å follow each position.
Fractional positions:
1 Y 0.0000 0.5000 0.0000  2 Hf 2.70
2 Hf 0.0000 0.0000 0.0000  2 Y 2.70, 4 In 2.86
3 Ba 0.5000 0.5000 0.5000  8 In 3.94, 4 Y 4.05
4 In 0.0000 0.0000 0.5000  2 Hf 2.86
5 In 0.5000 0.0000 0.0000  2 Hf 2.86

Values from the calculation:
Calculated density in g/cm³: 6.0
DFT total energy in eV/atom: -4.556

(2)
## Ba3HfIr (PBE)

Data for a relaxed Ba3HfIr crystal.

a b c (Å): 6.0404 6.0404 6.0404
angles (deg): 90.00 90.00 90.00
Closest atoms and distances in Å follow each position.
Fractional positions:
1 Ir 0.0000 0.0000 0.0000  6 Ba 3.02
2 Hf 0.5000 0.5000 0.5000  12 Ba 4.27
3 Ba 0.0000 0.5000 0.0000  2 Ir 3.02
4 Ba 0.0000 0.0000 0.5000  2 Ir 3.02
5 Ba 0.5000 0.0000 0.0000  2 Ir 3.02

Values from the calculation:
Energy above the most stable polymorph in this dataset in meV/atom: 0
Calculated density in g/cm³: 5.9
DFT total energy in eV/atom: -4.235

(3)
## BaHf2Ir2 (PBE)

Data for a relaxed BaHf2Ir2 crystal.

a b c (Å): 8.2941 8.2941 3.0671
angles (deg): 90.00 90.00 90.00
Closest atoms and distances in Å follow each position.
Fractional positions:
1 Ir 0.1439 0.6439 0.5000  6 Hf 2.80-2.98, 2 Ir 3.07
2 Ir 0.6439 0.8561 0.5000  6 Hf 2.80-2.98, 2 Ir 3.07
3 Ir 0.8561 0.3561 0.5000  6 Hf 2.80-2.98, 2 Ir 3.07
4 Ir 0.3561 0.1439 0.5000  6 Hf 2.80-2.98, 2 Ir 3.07
5 Hf 0.3619 0.8619 0.0000  6 Ir 2.80-2.98, 2 Hf 3.07
6 Hf 0.8619 0.6381 0.0000  6 Ir 2.80-2.98, 2 Hf 3.07
7 Hf 0.6381 0.1381 0.0000  6 Ir 2.80-2.98, 2 Hf 3.07
8 Hf 0.1381 0.3619 0.0000  6 Ir 2.80-2.98, 2 Hf 3.07
9 Ba 0.0000 0.0000 0.0000  2 Ba 3.07, 4 Hf 3.21
10 Ba 0.5000 0.5000 0.0000  2 Ba 3.07, 4 Hf 3.21

Values from the calculation:
Energy above the most stable polymorph in this dataset in meV/atom: 230
Calculated density in g/cm³: 13.8
DFT total energy in eV/atom: -8.332